Arrangement P

Material: Ga2SbSe
Method: DFT, PBE
State: optimized geometry

The structure belongs to space group Fm-3m (No. 225); the cell edges are 7.099, 7.099 and 7.099 Å and the angles 90.00°, 90.00° and 90.00°. The asymmetric unit holds Ga at (0.250, 0.250, 0.250), Sb at (0.000, 0.000, 0.000) and Se at (0.000, 0.000, 0.500).

The magnetization is 0.000 μB/f.u. The value obtained for the density is 6.31 g cm⁻³.

Arrangement Q

Material: Ga2SbSe
Method: DFT, PBE
State: optimized geometry

The structure belongs to space group I-42d (No. 122); the cell edges are 6.179, 6.179 and 12.505 Å and the angles 90.00°, 90.00° and 90.00°. The asymmetric unit holds Ga at (0.239, 0.250, 0.125), Sb at (0.000, 0.000, 0.500) and Se at (0.000, 0.000, 0.000).

The magnetization is 0.000 μB/f.u. The value obtained for the density is 4.73 g cm⁻³.

Which structure loses on stability? arrangement P does.